Record 1
# Li3TbNp3Se8 (GGA-PBE, optimized geometry)
# * space-group type: No. 166
data_Li3TbNp3Se8
_chemical_formula_sum 'Li3 Tb1 Np3 Se8'
_space_group_name_H-M_alt 'P 1'
_space_group_IT_number 1
_space_group_name_Hall 'P 1'
_cell_length_a 8.223
_cell_length_b 8.223
_cell_length_c 8.008
_cell_angle_alpha 120.90
_cell_angle_beta 90.00
_cell_angle_gamma 120.00
loop_
_atom_site_label
_atom_site_type_symbol
_atom_site_fract_x
_atom_site_fract_y
_atom_site_fract_z
_atom_site_occupancy
Li1 Li 0.000 0.000 0.000 1
Li2 Li 0.000 0.500 0.000 1
Li3 Li 0.500 0.500 0.000 1
Tb1 Tb 0.000 0.000 0.500 1
Np1 Np 0.500 0.000 0.500 1
Np2 Np 0.500 0.500 0.500 1
Np3 Np 0.000 0.500 0.500 1
Se1 Se 0.249 0.497 0.246 1
Se2 Se 0.751 0.503 0.754 1
Se3 Se 0.750 0.499 0.250 1
Se4 Se 0.250 0.501 0.750 1
Se5 Se 0.750 0.000 0.250 1
Se6 Se 0.250 0.000 0.750 1
Se7 Se 0.251 0.000 0.250 1
Se8 Se 0.749 0.000 0.750 1


Record 2
# Li4Tb3NpSe8 (GGA-PBE, optimized geometry)
# * space-group type: No. 166
data_Li4Tb3NpSe8
_chemical_formula_sum 'Li4 Tb3 Np1 Se8'
_space_group_name_H-M_alt 'P 1'
_space_group_IT_number 1
_space_group_name_Hall 'P 1'
_cell_length_a 8.198
_cell_length_b 8.048
_cell_length_c 8.196
_cell_angle_alpha 120.64
_cell_angle_beta 120.01
_cell_angle_gamma 90.00
loop_
_atom_site_label
_atom_site_type_symbol
_atom_site_fract_x
_atom_site_fract_y
_atom_site_fract_z
_atom_site_occupancy
Li1 Li 0.500 0.000 0.000 1
Li2 Li 0.500 0.000 0.500 1
Li3 Li 0.000 0.000 0.000 1
Li4 Li 0.000 0.000 0.500 1
Tb1 Tb 0.500 0.500 0.000 1
Tb2 Tb 0.500 0.500 0.500 1
Tb3 Tb 0.000 0.500 0.500 1
Np1 Np 0.000 0.500 0.000 1
Se1 Se 0.253 0.755 0.002 1
Se2 Se 0.253 0.755 0.506 1
Se3 Se 0.248 0.246 0.497 1
Se4 Se 0.750 0.755 0.002 1
Se5 Se 0.250 0.245 0.998 1
Se6 Se 0.752 0.754 0.503 1
Se7 Se 0.747 0.245 0.494 1
Se8 Se 0.747 0.245 0.998 1


Record 3
# Li2TbNpSe4 (GGA-PBE, optimized geometry)
# * space-group type: No. 10
data_Li2TbNpSe4
_chemical_formula_sum 'Li2 Tb1 Np1 Se4'
_space_group_name_H-M_alt 'P 1'
_space_group_IT_number 1
_space_group_name_Hall 'P 1'
_cell_length_a 4.099
_cell_length_b 7.116
_cell_length_c 6.916
_cell_angle_alpha 110.19
_cell_angle_beta 90.00
_cell_angle_gamma 90.00
loop_
_atom_site_label
_atom_site_type_symbol
_atom_site_fract_x
_atom_site_fract_y
_atom_site_fract_z
_atom_site_occupancy
Li1 Li 0.500 0.000 0.500 1
Li2 Li 0.000 0.500 0.500 1
Tb1 Tb 0.000 0.000 0.000 1
Np1 Np 0.500 0.500 0.000 1
Se1 Se 0.500 0.250 0.256 1
Se2 Se 0.500 0.750 0.744 1
Se3 Se 0.000 0.247 0.745 1
Se4 Se 0.000 0.753 0.255 1


Record 4
# Li4TbNp3Se8 (GGA-PBE, optimized geometry)
# * space-group type: No. 166
data_Li4TbNp3Se8
_chemical_formula_sum 'Li4 Tb1 Np3 Se8'
_space_group_name_H-M_alt 'P 1'
_space_group_IT_number 1
_space_group_name_Hall 'P 1'
_cell_length_a 8.201
_cell_length_b 8.027
_cell_length_c 8.201
_cell_angle_alpha 120.72
_cell_angle_beta 120.00
_cell_angle_gamma 90.00
loop_
_atom_site_label
_atom_site_type_symbol
_atom_site_fract_x
_atom_site_fract_y
_atom_site_fract_z
_atom_site_occupancy
Li1 Li 0.500 0.000 0.000 1
Li2 Li 0.500 0.000 0.500 1
Li3 Li 0.000 0.000 0.000 1
Li4 Li 0.000 0.000 0.500 1
Tb1 Tb 0.000 0.500 0.000 1
Np1 Np 0.500 0.500 0.000 1
Np2 Np 0.500 0.500 0.500 1
Np3 Np 0.000 0.500 0.500 1
Se1 Se 0.251 0.756 0.005 1
Se2 Se 0.251 0.756 0.503 1
Se3 Se 0.249 0.246 0.497 1
Se4 Se 0.753 0.756 0.005 1
Se5 Se 0.247 0.244 0.995 1
Se6 Se 0.751 0.754 0.503 1
Se7 Se 0.749 0.244 0.497 1
Se8 Se 0.749 0.244 0.995 1


Record 5
# Li2ThNpSe4 (GGA-PBE, optimized geometry)
# * space-group type: No. 10
data_Li2ThNpSe4
_chemical_formula_sum 'Li2 Th1 Np1 Se4'
_space_group_name_H-M_alt 'P 1'
_space_group_IT_number 1
_space_group_name_Hall 'P 1'
_cell_length_a 4.117
_cell_length_b 7.123
_cell_length_c 7.000
_cell_angle_alpha 109.83
_cell_angle_beta 90.00
_cell_angle_gamma 90.00
loop_
_atom_site_label
_atom_site_type_symbol
_atom_site_fract_x
_atom_site_fract_y
_atom_site_fract_z
_atom_site_occupancy
Li1 Li 0.500 0.000 0.500 1
Li2 Li 0.000 0.500 0.500 1
Th1 Th 0.000 0.000 0.000 1
Np1 Np 0.500 0.500 0.000 1
Se1 Se 0.500 0.256 0.266 1
Se2 Se 0.500 0.744 0.734 1
Se3 Se 0.000 0.248 0.740 1
Se4 Se 0.000 0.752 0.260 1


Record 6
# Li3ThNp2Se6 (GGA-PBE, optimized geometry)
# * space-group type: No. 12
data_Li3ThNp2Se6
_chemical_formula_sum 'Li3 Th1 Np2 Se6'
_space_group_name_H-M_alt 'P 1'
_space_group_IT_number 1
_space_group_name_Hall 'P 1'
_cell_length_a 7.128
_cell_length_b 7.128
_cell_length_c 6.966
_cell_angle_alpha 99.81
_cell_angle_beta 99.81
_cell_angle_gamma 119.99
loop_
_atom_site_label
_atom_site_type_symbol
_atom_site_fract_x
_atom_site_fract_y
_atom_site_fract_z
_atom_site_occupancy
Li1 Li 0.167 0.833 0.500 1
Li2 Li 0.833 0.167 0.500 1
Li3 Li 0.500 0.500 0.500 1
Th1 Th 0.000 0.000 0.000 1
Np1 Np 0.333 0.667 0.000 1
Np2 Np 0.667 0.333 0.000 1
Se1 Se 0.913 0.578 0.740 1
Se2 Se 0.752 0.752 0.261 1
Se3 Se 0.087 0.422 0.260 1
Se4 Se 0.578 0.913 0.740 1
Se5 Se 0.248 0.248 0.739 1
Se6 Se 0.422 0.087 0.260 1


Record 7
# Li4ThNp3Se8 (GGA-PBE, optimized geometry)
# * space-group type: No. 12
data_Li4ThNp3Se8
_chemical_formula_sum 'Li4 Th1 Np3 Se8'
_space_group_name_H-M_alt 'P 1'
_space_group_IT_number 1
_space_group_name_Hall 'P 1'
_cell_length_a 8.252
_cell_length_b 8.074
_cell_length_c 8.281
_cell_angle_alpha 120.80
_cell_angle_beta 119.88
_cell_angle_gamma 90.00
loop_
_atom_site_label
_atom_site_type_symbol
_atom_site_fract_x
_atom_site_fract_y
_atom_site_fract_z
_atom_site_occupancy
Li1 Li 0.500 0.000 0.000 1
Li2 Li 0.500 0.000 0.500 1
Li3 Li 0.000 0.000 0.000 1
Li4 Li 0.000 0.000 0.500 1
Th1 Th 0.000 0.500 0.000 1
Np1 Np 0.500 0.500 0.000 1
Np2 Np 0.500 0.500 0.500 1
Np3 Np 0.000 0.500 0.500 1
Se1 Se 0.254 0.761 0.007 1
Se2 Se 0.253 0.759 0.507 1
Se3 Se 0.248 0.244 0.496 1
Se4 Se 0.753 0.761 0.007 1
Se5 Se 0.247 0.239 0.993 1
Se6 Se 0.752 0.756 0.504 1
Se7 Se 0.747 0.241 0.493 1
Se8 Se 0.746 0.239 0.993 1


Record 8
# Li2NpTiSe4 (GGA-PBE, optimized geometry)
# * space-group type: No. 10
data_Li2NpTiSe4
_chemical_formula_sum 'Li2 Np1 Ti1 Se4'
_space_group_name_H-M_alt 'P 1'
_space_group_IT_number 1
_space_group_name_Hall 'P 1'
_cell_length_a 3.900
_cell_length_b 6.680
_cell_length_c 6.882
_cell_angle_alpha 108.82
_cell_angle_beta 90.00
_cell_angle_gamma 90.00
loop_
_atom_site_label
_atom_site_type_symbol
_atom_site_fract_x
_atom_site_fract_y
_atom_site_fract_z
_atom_site_occupancy
Li1 Li 0.500 0.000 0.500 1
Li2 Li 0.000 0.500 0.500 1
Np1 Np 0.000 0.000 0.000 1
Ti1 Ti 0.500 0.500 0.000 1
Se1 Se 0.500 0.269 0.254 1
Se2 Se 0.500 0.731 0.746 1
Se3 Se 0.000 0.271 0.759 1
Se4 Se 0.000 0.729 0.241 1


Record 9
# Li3Np3TiSe8 (GGA-PBE, optimized geometry)
# * space-group type: No. 166
data_Li3Np3TiSe8
_chemical_formula_sum 'Li3 Np3 Ti1 Se8'
_space_group_name_H-M_alt 'P 1'
_space_group_IT_number 1
_space_group_name_Hall 'P 1'
_cell_length_a 7.981
_cell_length_b 7.981
_cell_length_c 7.979
_cell_angle_alpha 120.01
_cell_angle_beta 90.00
_cell_angle_gamma 120.00
loop_
_atom_site_label
_atom_site_type_symbol
_atom_site_fract_x
_atom_site_fract_y
_atom_site_fract_z
_atom_site_occupancy
Li1 Li 0.000 0.000 0.000 1
Li2 Li 0.000 0.500 0.000 1
Li3 Li 0.500 0.500 0.000 1
Np1 Np 0.500 0.000 0.500 1
Np2 Np 0.500 0.500 0.500 1
Np3 Np 0.000 0.500 0.500 1
Ti1 Ti 0.000 0.000 0.500 1
Se1 Se 0.246 0.492 0.238 1
Se2 Se 0.754 0.508 0.762 1
Se3 Se 0.764 0.528 0.259 1
Se4 Se 0.236 0.472 0.741 1
Se5 Se 0.764 0.995 0.259 1
Se6 Se 0.236 0.005 0.741 1
Se7 Se 0.231 0.995 0.259 1
Se8 Se 0.769 0.005 0.741 1


Record 10
# LiNp2Tl3Se6 (GGA-PBE, optimized geometry)
# * space-group type: No. 12
data_LiNp2Tl3Se6
_chemical_formula_sum 'Li1 Np2 Tl3 Se6'
_space_group_name_H-M_alt 'P 1'
_space_group_IT_number 1
_space_group_name_Hall 'P 1'
_cell_length_a 7.190
_cell_length_b 7.190
_cell_length_c 8.063
_cell_angle_alpha 98.43
_cell_angle_beta 98.43
_cell_angle_gamma 120.04
loop_
_atom_site_label
_atom_site_type_symbol
_atom_site_fract_x
_atom_site_fract_y
_atom_site_fract_z
_atom_site_occupancy
Li1 Li 0.000 0.000 0.000 1
Np1 Np 0.333 0.667 0.000 1
Np2 Np 0.667 0.333 0.000 1
Tl1 Tl 0.162 0.838 0.500 1
Tl2 Tl 0.838 0.162 0.500 1
Tl3 Tl 0.500 0.500 0.500 1
Se1 Se 0.932 0.586 0.796 1
Se2 Se 0.723 0.723 0.196 1
Se3 Se 0.068 0.414 0.204 1
Se4 Se 0.586 0.932 0.796 1
Se5 Se 0.277 0.277 0.804 1
Se6 Se 0.414 0.068 0.204 1


What did we get for energy relative to the elements, uncorrected? Answer: -1.298; -1.559; -1.432; -1.313; -1.345; -1.299; -1.259; -1.186; -1.182; -0.885 eV per atom, in the order shown.